No. 1
Here is a relaxed PmYMg2Au4 crystal from the Alexandria database. Energies are from GGA-PBE.

Lattice parameters (Å, degrees): 8.5400 8.5400 8.5400 33.83 33.83 33.83
With the nearest neighbours (Å) after each atom.
Atoms (fractional coordinates):
Pm  0.0000  0.0000  0.0000  8 Au 3.05-3.09
Y  0.5000  0.5000  0.5000  8 Au 2.98-3.02
Mg  0.2494  0.2494  0.2494  8 Au 2.93-3.07
Mg  0.7506  0.7506  0.7506  8 Au 2.93-3.07
Au  0.1280  0.1280  0.1280  4 Mg 2.93-3.06, 3 Y 3.02, 1 Pm 3.09
Au  0.3767  0.3767  0.3767  1 Y 2.98, 4 Mg 3.03-3.07, 3 Pm 3.05
Au  0.6233  0.6233  0.6233  1 Y 2.98, 4 Mg 3.03-3.07, 3 Pm 3.05
Au  0.8720  0.8720  0.8720  4 Mg 2.93-3.06, 3 Y 3.02, 1 Pm 3.09

- theoretical density (g cm⁻³) = 10.333
- formation enthalpy at 0 K (eV per atom) = -0.76
- total energy (eV per atom) = -4.2014
- Fermi-level density of states (states/eV/atom) = 0.6099

---

No. 2
Here is a relaxed KRe2GeBi crystal from the Alexandria database. Energies are from GGA-PBE.

Lattice parameters (Å, degrees): 4.8113 4.8113 5.1133 90.00 90.00 90.00
With the nearest neighbours (Å) after each atom.
Atoms (fractional coordinates):
K  0.0000  0.0000  0.0000  4 Re 2.41, 2 Ge 2.56
Re  0.0000  0.5000  0.0000  2 K 2.41
Re  0.5000  0.0000  0.0000  2 K 2.41
Ge  0.0000  0.0000  0.5000  2 K 2.56
Bi  0.5000  0.5000  0.5000  4 Ge 3.40, 8 Re 3.51

- theoretical density (g cm⁻³) = 9.724
- formation enthalpy at 0 K (eV per atom) = 3.09
- total energy (eV per atom) = -3.8064
- Fermi-level density of states (states/eV/atom) = 1.2393

---

No. 3
Here is a relaxed LaDy12Er3 crystal from the Alexandria database. Energies are from GGA-PBE.

Lattice parameters (Å, degrees): 5.0190 5.0190 20.0958 90.00 90.00 90.00
With the nearest neighbours (Å) after each atom.
Atoms (fractional coordinates):
La  0.0000  0.0000  0.0000  12 Dy 3.55-3.60
Dy  0.0000  0.5000  0.1285  2 Er 3.52, 8 Dy 3.54-3.60, 2 La 3.60
Dy  0.0000  0.5000  0.3760  8 Dy 3.52-3.55, 4 Er 3.54
Dy  0.0000  0.5000  0.6240  8 Dy 3.52-3.55, 4 Er 3.54
Dy  0.0000  0.5000  0.8715  2 Er 3.52, 8 Dy 3.54-3.60, 2 La 3.60
Dy  0.5000  0.0000  0.1285  2 Er 3.52, 8 Dy 3.54-3.60, 2 La 3.60
Dy  0.5000  0.0000  0.3760  8 Dy 3.52-3.55, 4 Er 3.54
Dy  0.5000  0.0000  0.6240  8 Dy 3.52-3.55, 4 Er 3.54
Dy  0.5000  0.0000  0.8715  2 Er 3.52, 8 Dy 3.54-3.60, 2 La 3.60
Dy  0.5000  0.5000  0.0000  4 La 3.55, 8 Dy 3.60
Dy  0.5000  0.5000  0.2529  8 Dy 3.52-3.54, 4 Er 3.55
Dy  0.5000  0.5000  0.5000  8 Dy 3.54, 4 Er 3.55
Dy  0.5000  0.5000  0.7471  8 Dy 3.52-3.54, 4 Er 3.55
Er  0.0000  0.0000  0.2516  12 Dy 3.52-3.55
Er  0.0000  0.0000  0.5000  12 Dy 3.54-3.55
Er  0.0000  0.0000  0.7484  12 Dy 3.52-3.55

- theoretical density (g cm⁻³) = 8.498
- formation enthalpy at 0 K (eV per atom) = 0.02
- total energy (eV per atom) = -4.5917
- Fermi-level density of states (states/eV/atom) = 1.3732

---

No. 4
Here is a relaxed DyHo2TeO8 crystal from the Alexandria database. Energies are from GGA-PBE.

Lattice parameters (Å, degrees): 5.0164 6.8535 5.0177 90.00 90.85 90.00
With the nearest neighbours (Å) after each atom.
Atoms (fractional coordinates):
Dy  0.0000  0.0000  0.0000  6 O 2.18-2.37
Ho  0.5000  0.2521  0.5000  6 O 2.18-2.32
Ho  0.5000  0.7479  0.5000  6 O 2.18-2.32
Te  0.0000  0.5000  0.0000  6 O 1.95-1.96
O  0.1825  0.2875  0.8162  1 Te 1.96
O  0.1825  0.7125  0.8162  1 Te 1.96
O  0.2772  0.5000  0.2757  1 Te 1.95
O  0.3109  0.0000  0.3094  2 Ho 2.18, 1 Dy 2.18
O  0.6891  0.0000  0.6906  2 Ho 2.18, 1 Dy 2.18
O  0.7228  0.5000  0.7243  1 Te 1.95
O  0.8175  0.2875  0.1838  1 Te 1.96
O  0.8175  0.7125  0.1838  1 Te 1.96

- theoretical density (g cm⁻³) = 7.201
- total energy (eV per atom) = -7.2418
- Fermi-level density of states (states/eV/atom) = 0.6419
- formation energy from raw total energies (kJ per mole of atoms) = -243.9

---

No. 5
Here is a relaxed Li2MgRu crystal from the Alexandria database. Energies are from GGA-PBE.

Lattice parameters (Å, degrees): 2.7546 4.6827 9.1660 90.00 90.00 90.00
With the nearest neighbours (Å) after each atom.
Atoms (fractional coordinates):
Li  0.0000  0.0000  0.0000  4 Li 2.55-2.75, 4 Ru 2.72, 2 Mg 2.73
Li  0.0000  0.5000  0.2661  4 Li 2.55-2.75, 2 Ru 2.66, 4 Mg 2.72
Li  0.5000  0.0000  0.7661  4 Li 2.55-2.75, 2 Ru 2.66, 4 Mg 2.72
Li  0.5000  0.5000  0.5000  4 Li 2.55-2.75, 4 Ru 2.72, 2 Mg 2.73
Mg  0.0000  0.5000  0.7571  6 Li 2.72-2.73, 2 Mg 2.75, 2 Ru 2.76
Mg  0.5000  0.0000  0.2571  6 Li 2.72-2.73, 2 Mg 2.75, 2 Ru 2.76
Ru  0.0000  0.0000  0.5184  6 Li 2.66-2.72, 2 Ru 2.75, 2 Mg 2.76
Ru  0.5000  0.5000  0.0184  6 Li 2.66-2.72, 2 Ru 2.75, 2 Mg 2.76

- theoretical density (g cm⁻³) = 3.912
- formation enthalpy at 0 K (eV per atom) = 0.18
- total energy (eV per atom) = -3.4977
- Fermi-level density of states (states/eV/atom) = 0.5269

---

No. 6
Here is a relaxed Y2GeP crystal from the Alexandria database. Energies are from GGA-PBE.

Lattice parameters (Å, degrees): 7.5063 7.5063 6.9404 90.00 90.00 90.00
With the nearest neighbours (Å) after each atom.
Atoms (fractional coordinates):
Y  0.2352  0.2500  0.1250  2 P 2.72, 2 Ge 2.87
Y  0.2500  0.7352  0.3750  2 P 2.72, 2 Ge 2.87
Y  0.2500  0.7648  0.8750  2 P 2.72, 2 Ge 2.87
Y  0.2648  0.2500  0.6250  2 P 2.72, 2 Ge 2.87
Y  0.7352  0.7500  0.6250  2 P 2.72, 2 Ge 2.87
Y  0.7500  0.2352  0.8750  2 P 2.72, 2 Ge 2.87
Y  0.7500  0.2648  0.3750  2 P 2.72, 2 Ge 2.87
Y  0.7648  0.7500  0.1250  2 P 2.72, 2 Ge 2.87
Ge  0.0000  0.0000  0.5000  4 Y 2.87
Ge  0.0000  0.5000  0.7500  4 Y 2.87
Ge  0.5000  0.0000  0.2500  4 Y 2.87
Ge  0.5000  0.5000  0.0000  4 Y 2.87
P  0.0000  0.0000  0.0000  4 Y 2.72
P  0.0000  0.5000  0.2500  4 Y 2.72
P  0.5000  0.0000  0.7500  4 Y 2.72
P  0.5000  0.5000  0.5000  4 Y 2.72

- theoretical density (g cm⁻³) = 4.780
- formation enthalpy at 0 K (eV per atom) = -0.81
- total energy (eV per atom) = -6.5510
- Fermi-level density of states (states/eV/atom) = 0.3762
- energy above the lowest structure with this stoichiometry (kJ per mole of atoms) = 43.1

---

No. 7
Here is a relaxed VTcIr4 crystal from the Alexandria database. Energies are from GGA-PBE.

Lattice parameters (Å, degrees): 6.4810 6.4810 4.2538 90.00 90.00 101.95
With the nearest neighbours (Å) after each atom.
Atoms (fractional coordinates):
V  0.1645  0.8355  0.7500  1 Tc 2.66, 8 Ir 2.70-2.74
V  0.8355  0.1645  0.2500  1 Tc 2.66, 8 Ir 2.70-2.74
Tc  0.4285  0.5715  0.7500  2 Tc 2.57, 1 V 2.66, 8 Ir 2.72-2.80
Tc  0.5715  0.4285  0.2500  2 Tc 2.57, 1 V 2.66, 8 Ir 2.72-2.80
Ir  0.0961  0.2381  0.7500  7 Ir 2.56-2.78, 3 V 2.70-2.74, 1 Tc 2.72
Ir  0.1616  0.5024  0.2500  5 Ir 2.60-2.78, 1 V 2.71, 3 Tc 2.72-2.80
Ir  0.2381  0.0961  0.2500  7 Ir 2.56-2.78, 3 V 2.70-2.74, 1 Tc 2.72
Ir  0.4976  0.8384  0.2500  5 Ir 2.60-2.78, 1 V 2.71, 3 Tc 2.72-2.80
Ir  0.5024  0.1616  0.7500  5 Ir 2.60-2.78, 1 V 2.71, 3 Tc 2.72-2.80
Ir  0.7619  0.9039  0.7500  7 Ir 2.56-2.78, 3 V 2.70-2.74, 1 Tc 2.72
Ir  0.8384  0.4976  0.7500  5 Ir 2.60-2.78, 1 V 2.71, 3 Tc 2.72-2.80
Ir  0.9039  0.7619  0.2500  7 Ir 2.56-2.78, 3 V 2.70-2.74, 1 Tc 2.72

- theoretical density (g cm⁻³) = 17.437
- formation enthalpy at 0 K (eV per atom) = -0.17
- total energy (eV per atom) = -9.3297
- Fermi-level density of states (states/eV/atom) = 1.0529
- energy above the lowest structure with this stoichiometry (kJ per mole of atoms) = 0.0

---

No. 8
Here is a relaxed Cs4NaNp3Se8 crystal from the Alexandria database. Energies are from GGA-PBE.

Lattice parameters (Å, degrees): 8.6851 8.6851 9.6907 116.55 116.55 60.05
With the nearest neighbours (Å) after each atom.
Atoms (fractional coordinates):
Cs  0.0000  0.0000  0.0000  6 Se 3.63-3.70
Cs  0.0000  0.5000  0.0000  6 Se 3.62-3.70
Cs  0.5000  0.0000  0.0000  6 Se 3.62-3.70
Cs  0.5000  0.5000  0.0000  6 Se 3.54
Na  0.0000  0.0000  0.5000  6 Se 3.06
Np  0.0000  0.5000  0.5000  6 Se 2.86-2.94
Np  0.5000  0.0000  0.5000  6 Se 2.86-2.94
Np  0.5000  0.5000  0.5000  6 Se 2.86-2.94
Se  0.2374  0.2374  0.6818  2 Np 2.86, 1 Na 3.06
Se  0.2375  0.7066  0.6818  2 Np 2.86, 1 Na 3.06
Se  0.2719  0.2719  0.3154  3 Np 2.94
Se  0.2934  0.7625  0.3182  2 Np 2.86, 1 Na 3.06
Se  0.7066  0.2375  0.6818  2 Np 2.86, 1 Na 3.06
Se  0.7281  0.7281  0.6846  3 Np 2.94
Se  0.7625  0.2934  0.3182  2 Np 2.86, 1 Na 3.06
Se  0.7626  0.7626  0.3182  2 Np 2.86, 1 Na 3.06

- theoretical density (g cm⁻³) = 5.808
- total energy (eV per atom) = -5.6761
- Fermi-level density of states (states/eV/atom) = 1.8295
- formation energy from raw total energies (kJ per mole of atoms) = -116.9

---

No. 9
Here is a relaxed CsDyCl4 crystal from the Alexandria database. Energies are from GGA-PBE.

Lattice parameters (Å, degrees): 6.8014 7.4820 9.1964 73.97 68.33 90.00
With the nearest neighbours (Å) after each atom.
Atoms (fractional coordinates):
Cs  0.2047  0.2503  0.4994  4 Cl 3.48
Cs  0.7953  0.7497  0.5006  4 Cl 3.48
Dy  0.0000  0.5000  0.0000  6 Cl 2.58-2.71
Dy  0.5000  0.0000  0.0000  6 Cl 2.58-2.71
Cl  0.1377  0.1641  0.0903  2 Dy 2.70-2.71
Cl  0.2603  0.5692  0.6983  1 Dy 2.58
Cl  0.2722  0.6641  0.0902  2 Dy 2.70-2.71
Cl  0.4592  0.9307  0.3016  1 Dy 2.58
Cl  0.5408  0.0693  0.6984  1 Dy 2.58
Cl  0.7278  0.3359  0.9098  2 Dy 2.70-2.71
Cl  0.7397  0.4308  0.3017  1 Dy 2.58
Cl  0.8623  0.8359  0.9097  2 Dy 2.70-2.71

- theoretical density (g cm⁻³) = 3.497
- total energy (eV per atom) = -4.3448
- Fermi-level density of states (states/eV/atom) = 0.0000
- energy above the lowest structure with this stoichiometry (kJ per mole of atoms) = 0.0
- formation energy from raw total energies (kJ per mole of atoms) = -212.7

---

No. 10
Here is a relaxed CdGa2Br crystal from the Alexandria database. Energies are from GGA-PBE.

Lattice parameters (Å, degrees): 6.5068 6.5068 12.7762 90.00 90.00 90.00
With the nearest neighbours (Å) after each atom.
Atoms (fractional coordinates):
Cd  0.0000  0.0000  0.0000  4 Ga 2.73
Cd  0.0000  0.5000  0.2500  4 Ga 2.73
Cd  0.5000  0.0000  0.7500  4 Ga 2.73
Cd  0.5000  0.5000  0.5000  4 Ga 2.73
Ga  0.2308  0.2500  0.1250  2 Cd 2.73, 2 Br 2.88
Ga  0.2500  0.7308  0.3750  2 Cd 2.73, 2 Br 2.88
Ga  0.2500  0.7692  0.8750  2 Cd 2.73, 2 Br 2.88
Ga  0.2692  0.2500  0.6250  2 Cd 2.73, 2 Br 2.88
Ga  0.7308  0.7500  0.6250  2 Cd 2.73, 2 Br 2.88
Ga  0.7500  0.2308  0.8750  2 Cd 2.73, 2 Br 2.88
Ga  0.7500  0.2692  0.3750  2 Cd 2.73, 2 Br 2.88
Ga  0.7692  0.7500  0.1250  2 Cd 2.73, 2 Br 2.88
Br  0.0000  0.0000  0.5000  4 Ga 2.88
Br  0.0000  0.5000  0.7500  4 Ga 2.88
Br  0.5000  0.0000  0.2500  4 Ga 2.88
Br  0.5000  0.5000  0.0000  4 Ga 2.88

- theoretical density (g cm⁻³) = 4.074
- total energy (eV per atom) = -2.1067
- Fermi-level density of states (states/eV/atom) = 0.5499
- energy above the lowest structure with this stoichiometry (kJ per mole of atoms) = 0.8
- formation energy from raw total energies (kJ per mole of atoms) = 5.2